1.
A plane-wave DFT calculation with PBE was carried out for an optimized crystal structure of PaV2Zn.

Output
The total energy is -7.11 eV/atom. As for the offset from the most stable computed form: 0.0 meV/atom. The calculation puts the calculated volume at 65.2 Å³/cell. The calculated density is 10.150 g/cm³.

Unit cell a=3.3722 b=4.3960 c=4.3960 alpha=90.00 beta=90.00 gamma=90.00
Fractional coordinates of all 4 atoms:
Zn  0.5000  0.5000  0.5000
Pa  0.5000  0.0000  0.0000
V  0.0000  0.5000  0.0000
V  0.0000  0.0000  0.5000

2.
A plane-wave DFT calculation with PBE was carried out for an optimized crystal structure of DyY5Th2.

Output
The total energy is -6.23 eV/atom. As for the offset from the most stable computed form: 97.1 meV/atom. The calculation puts the calculated volume at 525.8 Å³/cell. The calculated density is 6.765 g/cm³.

Unit cell a=9.5637 b=9.5637 c=13.4111 alpha=45.45 beta=45.45 gamma=77.30
Fractional coordinates of all 16 atoms:
Th  0.5000  0.5000  0.0000
Th  0.0000  0.5000  0.5000
Th  0.5000  0.0000  0.0000
Th  0.5000  0.5000  0.5000
Dy  0.7949  0.2051  0.2500
Dy  0.2051  0.7949  0.7500
Y  0.4993  0.9997  0.7325
Y  0.0303  0.9691  0.1186
Y  0.5146  0.4854  0.2500
Y  0.4854  0.5146  0.7500
Y  0.5007  0.0003  0.2675
Y  0.0003  0.5007  0.7675
Y  0.9691  0.0303  0.6186
Y  0.9997  0.4993  0.2325
Y  0.0309  0.9697  0.3814
Y  0.9697  0.0309  0.8814

3.
A plane-wave DFT calculation with PBE was carried out for an optimized crystal structure of MnRe8.

Output
The total energy is -12.00 eV/atom. The calculation puts the calculated volume at 132.3 Å³/cell. The calculated density is 19.391 g/cm³.

Unit cell a=6.1469 b=6.1469 c=6.1469 alpha=95.75 beta=95.75 gamma=143.10
Fractional coordinates of all 9 atoms:
Re  0.6636  0.3364  0.0000
Re  0.3290  0.0000  0.3290
Re  0.3364  0.3364  0.6729
Re  0.6636  0.6636  0.3271
Re  0.0000  0.6710  0.6710
Re  0.0000  0.3290  0.3290
Re  0.6710  0.0000  0.6710
Re  0.3364  0.6636  0.0000
Mn  0.0000  0.0000  0.0000

4.
A plane-wave DFT calculation with PBE was carried out for an optimized crystal structure of KB3As.

Output
The total energy is -3.38 eV/atom. As for the offset from the most stable computed form: 0.0 meV/atom. The calculation puts the calculated volume at 83.7 Å³/cell. The calculated density is 2.906 g/cm³.

Unit cell a=4.3738 b=4.3738 c=4.3738 alpha=90.00 beta=90.00 gamma=90.00
Fractional coordinates of all 5 atoms:
B  0.0000  0.5000  0.0000
B  0.0000  0.0000  0.5000
B  0.5000  0.0000  0.0000
K  0.5000  0.5000  0.5000
As  0.0000  0.0000  0.0000

5.
A plane-wave DFT calculation with PBE was carried out for an optimized crystal structure of CsSrAs.

Output
The total energy is -3.17 eV/atom. The calculation puts the calculated volume at 461.7 Å³/cell. The calculated density is 4.250 g/cm³.

Unit cell a=9.4597 b=5.4163 c=9.0110 alpha=90.00 beta=90.00 gamma=90.00
Fractional coordinates of all 12 atoms:
Sr  0.3540  0.2500  0.0802
Sr  0.1460  0.7500  0.5802
Sr  0.6460  0.7500  0.9198
Sr  0.8540  0.2500  0.4198
As  0.8125  0.7500  0.6085
As  0.1875  0.2500  0.3915
As  0.6875  0.2500  0.1085
As  0.3125  0.7500  0.8915
Cs  0.5148  0.7500  0.3408
Cs  0.0148  0.7500  0.1592
Cs  0.4852  0.2500  0.6592
Cs  0.9852  0.2500  0.8408

6.
A plane-wave DFT calculation with PBE was carried out for an optimized crystal structure of TiIn2Hg2.

Output
The total energy is -2.55 eV/atom. As for the offset from the most stable computed form: 0.0 meV/atom. The calculation puts the calculated volume at 237.3 Å³/cell. The calculated density is 9.498 g/cm³.

Unit cell a=7.6124 b=7.6124 c=4.0953 alpha=90.00 beta=90.00 gamma=90.00
Fractional coordinates of all 10 atoms:
Hg  0.6389  0.1389  0.0000
Hg  0.3611  0.8611  0.0000
Hg  0.8611  0.6389  0.0000
Hg  0.1389  0.3611  0.0000
Ti  0.0000  0.0000  0.0000
Ti  0.5000  0.5000  0.0000
In  0.1696  0.6696  0.5000
In  0.3304  0.1696  0.5000
In  0.8304  0.3304  0.5000
In  0.6696  0.8304  0.5000

7.
A plane-wave DFT calculation with PBE was carried out for an optimized crystal structure of NbVSe2Br.

Output
The value obtained for the raw formation energy is 1.3 eV/f.u. The total energy is -5.31 eV/atom. As for the offset from the most stable computed form: 0.0 meV/atom. The calculation puts the calculated volume at 131.6 Å³/cell. The calculated density is 4.816 g/cm³.

Unit cell a=5.0787 b=5.0787 c=5.1021 alpha=90.00 beta=90.00 gamma=90.00
Fractional coordinates of all 5 atoms:
V  0.5000  0.5000  0.5000
Nb  0.0000  0.0000  0.0000
Br  0.0000  0.0000  0.5000
Se  0.0000  0.5000  0.0000
Se  0.5000  0.0000  0.0000

8.
A plane-wave DFT calculation with PBE was carried out for an optimized crystal structure of In2Co2Tc.

Output
The total energy is -5.31 eV/atom. As for the offset from the most stable computed form: 397.9 meV/atom. The calculation puts the calculated volume at 85.8 Å³/cell. The calculated density is 8.619 g/cm³.

Unit cell a=4.9748 b=4.9748 c=4.9398 alpha=59.77 beta=59.77 gamma=90.00
Fractional coordinates of all 5 atoms:
Tc  0.0000  0.0000  0.0000
In  0.7500  0.2500  0.5000
In  0.2500  0.7500  0.5000
Co  0.6575  0.6575  0.6849
Co  0.3425  0.3425  0.3151

9.
A plane-wave DFT calculation with PBE was carried out for an optimized crystal structure of Te2Os.

Output
The value obtained for the raw formation energy is 2.6 eV/f.u. The total energy is -4.96 eV/atom. The calculation puts the calculated volume at 141.0 Å³/cell. The calculated density is 10.492 g/cm³.

Unit cell a=4.4690 b=4.4690 c=8.1518 alpha=90.00 beta=90.00 gamma=120.00
Fractional coordinates of all 6 atoms:
Te  0.0000  0.0000  0.0000
Te  0.6667  0.3333  0.2500
Te  0.0000  0.0000  0.5000
Te  0.3333  0.6667  0.7500
Os  0.3333  0.6667  0.2500
Os  0.6667  0.3333  0.7500

10.
A plane-wave DFT calculation with PBE was carried out for an optimized crystal structure of Tb8PrIr6.

Output
The total energy is -7.06 eV/atom. The calculation puts the calculated volume at 365.5 Å³/cell. The calculated density is 11.655 g/cm³.

Unit cell a=7.7221 b=7.7221 c=7.7221 alpha=65.65 beta=65.65 gamma=65.65
Fractional coordinates of all 15 atoms:
Tb  0.5482  0.8907  0.2244
Tb  0.6652  0.6652  0.6652
Tb  0.4518  0.1093  0.7756
Tb  0.8907  0.2244  0.5482
Tb  0.1093  0.7756  0.4518
Tb  0.7756  0.4518  0.1093
Tb  0.2244  0.5482  0.8907
Tb  0.3348  0.3348  0.3348
Ir  0.2788  0.9418  0.6061
Ir  0.3939  0.7212  0.0582
Ir  0.6061  0.2788  0.9418
Ir  0.0582  0.3939  0.7212
Ir  0.7212  0.0582  0.3939
Ir  0.9418  0.6061  0.2788
Pr  0.0000  0.0000  0.0000

11.
A plane-wave DFT calculation with PBE was carried out for an optimized crystal structure of MgMnRu2.

Output
The total energy is -7.17 eV/atom. The calculation puts the calculated volume at 57.6 Å³/cell. The calculated density is 8.108 g/cm³.

Unit cell a=4.8249 b=4.8249 c=4.8249 alpha=133.75 beta=133.75 gamma=67.48
Fractional coordinates of all 4 atoms:
Ru  0.0000  0.0000  0.0000
Ru  0.2500  0.7500  0.5000
Mn  0.7500  0.2500  0.5000
Mg  0.5000  0.5000  0.0000

12.
A plane-wave DFT calculation with PBE was carried out for an optimized crystal structure of SrAs2OsPd.

Output
The total energy is -5.18 eV/atom. The calculation puts the calculated volume at 131.2 Å³/cell. The calculated density is 6.761 g/cm³.

Unit cell a=4.6941 b=5.9533 c=4.6941 alpha=90.00 beta=90.00 gamma=90.00
Fractional coordinates of all 5 atoms:
Pd  0.5000  0.5000  0.5000
Os  0.0000  0.0000  0.0000
As  0.5000  0.0000  0.0000
As  0.0000  0.0000  0.5000
Sr  0.0000  0.5000  0.0000

13.
A plane-wave DFT calculation with PBE was carried out for an optimized crystal structure of LaMnCo2.

Output
The total energy is -7.07 eV/atom. The calculation puts the calculated volume at 71.7 Å³/cell. The calculated density is 7.220 g/cm³.

Unit cell a=4.0811 b=4.0811 c=5.5028 alpha=68.19 beta=68.19 gamma=59.99
Fractional coordinates of all 4 atoms:
La  0.7500  0.7500  0.7500
Co  0.5588  0.5588  0.3236
Co  0.9412  0.9412  0.1764
Mn  0.2500  0.2500  0.2500

14.
A plane-wave DFT calculation with PBE was carried out for an optimized crystal structure of Li2PrPd5.

Output
The total energy is -4.75 eV/atom. The calculation puts the calculated volume at 133.9 Å³/cell. The calculated density is 8.520 g/cm³.

Unit cell a=3.8211 b=6.4068 c=6.4068 alpha=65.95 beta=72.65 gamma=72.65
Fractional coordinates of all 8 atoms:
Pd  0.0000  0.5000  0.5000
Pd  0.6414  0.5641  0.1531
Pd  0.3586  0.8469  0.4359
Pd  0.3586  0.4359  0.8469
Pd  0.6414  0.1531  0.5641
Pr  0.0000  0.0000  0.0000
Li  0.2340  0.2660  0.2660
Li  0.7660  0.7340  0.7340

15.
A plane-wave DFT calculation with PBE was carried out for an optimized crystal structure of BaCaAg2.

Output
The total energy is -2.61 eV/atom. As for the offset from the most stable computed form: 65.6 meV/atom. The calculation puts the calculated volume at 145.0 Å³/cell. The calculated density is 4.502 g/cm³.

Unit cell a=7.7249 b=7.7249 c=7.7249 alpha=36.36 beta=36.36 gamma=36.36
Fractional coordinates of all 4 atoms:
Ag  0.9644  0.9644  0.9644
Ag  0.3008  0.3008  0.3008
Ba  0.5289  0.5289  0.5289
Ca  0.7058  0.7058  0.7058

16.
A plane-wave DFT calculation with PBE was carried out for an optimized crystal structure of Ba2Li17Tl3.

Output
The total energy is -1.99 eV/atom. The calculation puts the calculated volume at 573.0 Å³/cell. The calculated density is 2.915 g/cm³.

Unit cell a=8.3316 b=8.3316 c=8.3316 alpha=85.40 beta=85.40 gamma=85.40
Fractional coordinates of all 22 atoms:
Li  0.5000  0.0000  0.0000
Li  0.0873  0.0873  0.0873
Li  0.1912  0.6737  0.6737
Li  0.7446  0.2554  0.0000
Li  0.0000  0.0000  0.5000
Li  0.7446  0.0000  0.2554
Li  0.3263  0.3263  0.8088
Li  0.9127  0.9127  0.9127
Li  0.0000  0.5000  0.0000
Li  0.0000  0.7446  0.2554
Li  0.0000  0.2554  0.7446
Li  0.6737  0.1912  0.6737
Li  0.2554  0.7446  0.0000
Li  0.8088  0.3263  0.3263
Li  0.3263  0.8088  0.3263
Li  0.6737  0.6737  0.1912
Li  0.2554  0.0000  0.7446
Ba  0.6803  0.6803  0.6803
Ba  0.3197  0.3197  0.3197
Tl  0.5000  0.5000  0.0000
Tl  0.5000  0.0000  0.5000
Tl  0.0000  0.5000  0.5000

17.
A plane-wave DFT calculation with PBE was carried out for an optimized crystal structure of CsCd2SnAs.

Output
The total energy is -2.17 eV/atom. The calculation puts the calculated volume at 188.6 Å³/cell. The calculated density is 4.855 g/cm³.

Unit cell a=5.8653 b=5.4814 c=5.8653 alpha=90.00 beta=90.00 gamma=90.00
Fractional coordinates of all 5 atoms:
Cs  0.5000  0.5000  0.5000
Cd  0.0000  0.0000  0.5000
Cd  0.5000  0.0000  0.0000
Sn  0.0000  0.0000  0.0000
As  0.0000  0.5000  0.0000

18.
A plane-wave DFT calculation with PBE was carried out for an optimized crystal structure of Er3AlHg2.

Output
The total energy is -3.44 eV/atom. As for the offset from the most stable computed form: 2.0 meV/atom. The calculation puts the calculated volume at 293.3 Å³/cell. The calculated density is 10.531 g/cm³.

Unit cell a=3.6767 b=5.1441 c=15.5052 alpha=90.00 beta=90.00 gamma=90.00
Fractional coordinates of all 12 atoms:
Hg  0.9995  0.5000  0.1630
Hg  0.0005  0.0000  0.6630
Hg  0.0005  0.0000  0.3370
Hg  0.9995  0.5000  0.8370
Er  0.5004  0.0000  0.5000
Er  0.4996  0.5000  0.0000
Er  0.5003  0.5000  0.3356
Er  0.4997  0.0000  0.1644
Er  0.5003  0.5000  0.6644
Er  0.4997  0.0000  0.8356
Al  0.0003  0.5000  0.5000
Al  0.9997  0.0000  0.0000

19.
A plane-wave DFT calculation with PBE was carried out for an optimized crystal structure of CoCuCl2.

Output
The value obtained for the raw formation energy is 0.0 eV/f.u. The total energy is -3.72 eV/atom. As for the offset from the most stable computed form: 137.1 meV/atom. The calculation puts the calculated volume at 74.5 Å³/cell. The calculated density is 4.309 g/cm³.

Unit cell a=3.3026 b=3.3026 c=6.8335 alpha=90.00 beta=90.00 gamma=90.00
Fractional coordinates of all 4 atoms:
Cl  0.0000  0.0000  0.8799
Cl  0.5000  0.5000  0.3707
Co  0.0000  0.0000  0.5329
Cu  0.5000  0.5000  0.7165

20.
A plane-wave DFT calculation with PBE was carried out for an optimized crystal structure of La2RuI2.

Output
The value obtained for the raw formation energy is -4.5 eV/f.u. The total energy is -5.34 eV/atom. The calculation puts the calculated volume at 192.9 Å³/cell. The calculated density is 5.446 g/cm³.

Unit cell a=4.3240 b=4.3238 c=12.1496 alpha=80.83 beta=79.75 gamma=60.00
Fractional coordinates of all 5 atoms:
I  0.5514  0.0835  0.8137
I  0.4486  0.9165  0.1863
Ru  0.0000  0.5000  0.5000
La  0.2853  0.7978  0.6316
La  0.7147  0.2022  0.3684